Here is a relaxed structure of Bi2Au2I from Alexandria. Energies are from GGA-PBE.

a = 8.7078 Å, b = 8.7078 Å, c = 3.5494 Å
α = 90.00°, β = 90.00°, γ = 90.00°
Closest atoms and distances in Å follow each position.
Space group P4/mbm (No. 127)
Asymmetric unit:
Bi 0.1391 0.3609 0.0000 [4 per cell]  6 Au 3.10-3.11, 1 Bi 3.42
Au 0.1543 0.6543 0.5000 [4 per cell]  6 Bi 3.10-3.11, 2 I 3.30
I 0.0000 0.0000 0.5000 [2 per cell]  4 Au 3.30, 2 I 3.55

Calculated values
Fermi-level density of states	2.11	states/eV/f.u.
V	26.91	Å³ per atom
formation energy without anion corrections	0.698	eV/f.u.
total energy	-3.03	eV/atom
distance to the lowest polymorph of the same formula	0.133	eV per atom